# 1
Compound: AcZnGeBr
Source: Alexandria via LeMat-Bulk
Functional: PBE-GGA
Structure: optimized geometry

Output
The calculation puts the total energy at -3.8813 eV/atom. The uncorrected formation energy comes out at -0.96 eV/atom. Its space group is No. 166.

abc: 4.445 4.445 14.405
angles: 81.13 81.13 60.00
Fractional positions:
Ge (0.628, 0.628, 0.116)
Ge (0.372, 0.372, 0.884)
Ac (0.920, 0.920, 0.241)
Ac (0.080, 0.080, 0.759)
Br (0.792, 0.792, 0.623)
Br (0.208, 0.208, 0.377)
Zn (0.310, 0.310, 0.071)
Zn (0.690, 0.690, 0.929)

***

# 2
Compound: AcHBr
Source: Alexandria via LeMat-Bulk
Functional: PBE-GGA
Structure: optimized geometry

Output
The value obtained for the energy above the most stable polymorph in this dataset is 0.107 eV/atom. The calculation puts the total energy at -4.0470 eV/atom. Its space group is No. 139.

abc: 4.711 4.711 7.606
angles: 71.95 71.95 89.96
Fractional positions:
Br (0.904, 0.344, 0.108)
Br (0.404, 0.844, 0.109)
H (0.654, 0.094, 0.609)
H (0.154, 0.595, 0.608)
Ac (0.250, 0.190, 0.418)
Ac (0.559, 0.499, 0.799)

***

# 3
Compound: AcH2Br
Source: Alexandria via LeMat-Bulk
Functional: PBE-GGA
Structure: optimized geometry

Output
The value obtained for the energy above the most stable polymorph in this dataset is 0.067 eV/atom. The calculation puts the total energy at -4.1556 eV/atom. Its space group is No. 166.

abc: 4.157 4.157 5.552
angles: 68.02 68.02 60.00
Fractional positions:
Br (0.500, 0.500, 0.500)
H (0.303, 0.303, 0.092)
H (0.697, 0.697, 0.908)
Ac (0.000, 0.000, 0.000)

***

# 4
Compound: AcH2Br
Source: Alexandria via LeMat-Bulk
Functional: PBE-GGA
Structure: optimized geometry

Output
The value obtained for the energy above the most stable polymorph in this dataset is 0.000 eV/atom. The calculation puts the total energy at -4.2224 eV/atom. Its space group is No. 164.

abc: 4.226 4.226 11.089
angles: 90.00 90.00 120.00
Fractional positions:
Br (0.667, 0.333, 0.154)
Br (0.333, 0.667, 0.846)
H (0.333, 0.667, 0.564)
H (0.000, 0.000, 0.359)
H (0.667, 0.333, 0.436)
H (0.000, 0.000, 0.641)
Ac (0.667, 0.333, 0.663)
Ac (0.333, 0.667, 0.337)

***

# 5
Compound: AcHBr
Source: Alexandria via LeMat-Bulk
Functional: PBE-GGA
Structure: optimized geometry

Output
The value obtained for the energy above the most stable polymorph in this dataset is 0.398 eV/atom. The calculation puts the total energy at -3.7567 eV/atom. Its space group is No. 216.

abc: 4.931 4.931 4.931
angles: 60.00 60.00 60.00
Last column: magnetic moment on the atom in μB.
Fractional positions:
H (0.500, 0.500, 0.500)  -0.01
Br (0.000, 0.000, 0.000)  0.03
Ac (0.250, 0.250, 0.250)  0.14

***

# 6
Compound: AcH2Br
Source: Alexandria via LeMat-Bulk
Functional: PBE-GGA
Structure: optimized geometry

Output
The value obtained for the energy above the most stable polymorph in this dataset is 0.665 eV/atom. The calculation puts the total energy at -3.5573 eV/atom. Its space group is No. 123.

abc: 3.559 3.559 6.033
angles: 90.00 90.00 90.00
Fractional positions:
H (0.000, 0.000, 0.167)
H (0.000, 0.000, 0.833)
Ac (0.500, 0.500, 0.000)
Br (0.500, 0.500, 0.500)